Below is a relaxed structure of VTe3Pt, with properties calculated at the PBE-GGA level.

The structure in POSCAR format:
```
VTe3Pt
1.0
5.0663 0.0000 0.0000
0.0000 5.0663 0.0000
0.0000 0.0000 5.0663
V Te Pt
1 3 1
Cartesian
0.0000 0.0000 0.0000 V
0.0000 0.0000 2.5331 Te
0.0000 2.5331 0.0000 Te
2.5331 0.0000 0.0000 Te
2.5331 2.5331 2.5331 Pt
```

## Properties
total moment: 0.000 μB/atom
offset from the most stable computed form: 0 meV/atom